No. 1
A relaxed CaFe2Te crystal. Source: the Alexandria database, functional GGA-PBEsol.

a b c (Å): 4.0112 4.4447 4.8328
angles (deg): 90.00 90.00 90.00
Closest atoms and distances in Å follow each position.
Space group Pmmm (No. 47)
Inequivalent atoms, fractional coordinates:
Ca1 0.0000 0.0000 0.0000 x1  4 Te 3.14, 8 Fe 3.19
Fe1 0.5000 0.5000 0.2272 x2  1 Fe 2.20
Te1 0.5000 0.0000 0.5000 x1  4 Fe 2.58

* DFT total energy: -5.6741 eV/atom
* formation energy (no corrections): 0.223 eV/atom
* density: 5.38 g/cm3


No. 2
A relaxed Mg2MnBeB crystal. Source: the Alexandria database, functional GGA-PBEsol.

a b c (Å): 4.9364 4.9364 4.0134
angles (deg): 90.00 90.00 90.00
Closest atoms and distances in Å follow each position.
Space group P4/mmm (No. 123)
Inequivalent atoms, fractional coordinates:
Mg1 0.0000 0.5000 0.0000 x2  2 Mn 2.47
Mn1 0.0000 0.0000 0.0000 x1  2 Be 2.01
Be1 0.0000 0.0000 0.5000 x1  2 Mn 2.01
B1 0.5000 0.5000 0.5000 x1  8 Mg 3.18, 4 Be 3.49

* calculated formation energy: 1.667 eV per atom
* DFT total energy: -3.1751 eV/atom
* density: 2.09 g/cm3


No. 3
A relaxed LiSiSe2 crystal. Source: the Alexandria database, functional GGA-PBEsol.

a b c (Å): 3.2402 3.2402 6.9110
angles (deg): 90.00 90.00 90.00
Closest atoms and distances in Å follow each position.
Space group P4/mmm (No. 123)
Inequivalent atoms, fractional coordinates:
Li1 0.0000 0.0000 0.0000 x1  8 Se 2.92, 4 Li 3.24
Si1 0.0000 0.0000 0.5000 x1  8 Se 2.82
Se1 0.5000 0.5000 0.2625 x2  4 Si 2.82, 4 Li 2.92

* DFT total energy: -4.0203 eV/atom
* formation energy (no corrections): -0.167 eV/atom
* density: 4.42 g/cm3


No. 4
A relaxed SrCuRu2 crystal. Source: the Alexandria database, functional GGA-PBEsol.

a b c (Å): 4.1979 4.1979 16.1330
angles (deg): 90.00 90.00 120.00
Closest atoms and distances in Å follow each position.
Space group R3m (No. 160, hexagonal axes)
Inequivalent atoms, fractional coordinates:
Sr1 0.0000 0.0000 0.0000 x3  4 Ru 3.06-3.36, 4 Cu 3.20-3.26
Cu1 0.0000 0.0000 0.1983 x3  6 Ru 2.53-2.58
Ru1 0.0000 0.0000 0.4867 x3  3 Ru 2.43, 3 Cu 2.53
Ru2 0.0000 0.0000 0.8105 x3  3 Ru 2.43, 3 Cu 2.58

* calculated formation energy: 0.244 eV per atom
* DFT total energy: -6.3857 eV/atom
* density: 7.15 g/cm3


> Which of these has the highest DFT total energy?

Mg2MnBeB


> The highest DFT total energy belongs to which entry?

Mg2MnBeB


> The highest density belongs to which entry?

SrCuRu2